Zn2CoCu: optimized geometry, PBEsol.

CIF file:
```
data_Zn2CoCu
_chemical_formula_sum 'Zn4 Co2 Cu2'
_space_group_name_H-M_alt 'I m m 2'
_space_group_IT_number 44
_cell_length_a 2.798
_cell_length_b 4.074
_cell_length_c 8.316
_cell_angle_alpha 90.00
_cell_angle_beta 90.00
_cell_angle_gamma 90.00
loop_
_space_group_symop_operation_xyz
'x,y,z'
'-x,-y,z'
'-x,y,z'
'x,-y,z'
'x+1/2,y+1/2,z+1/2'
'-x+1/2,-y+1/2,z+1/2'
'-x+1/2,y+1/2,z+1/2'
'x+1/2,-y+1/2,z+1/2'
loop_
_atom_site_label
_atom_site_fract_x
_atom_site_fract_y
_atom_site_fract_z
_atom_site_occupancy
Zn1 0.000 0.000 0.000 1
Zn2 0.000 0.500 0.241 1
Co1 0.000 0.500 0.745 1
Cu1 0.000 0.000 0.491 1
```

The calculation puts the formation energy at 0.00 eV per atom. Its spin magnetization is 0.036 μB per atom.

***

Zn2CoCu: optimized geometry, PBEsol.

CIF file:
```
data_Zn2CoCu
_chemical_formula_sum 'Zn4 Co2 Cu2'
_space_group_name_H-M_alt 'I 4/m m m'
_space_group_IT_number 139
_space_group_name_Hall '-I 4 2'
_cell_length_a 3.802
_cell_length_b 3.802
_cell_length_c 6.499
_cell_angle_alpha 90.00
_cell_angle_beta 90.00
_cell_angle_gamma 90.00
loop_
_atom_site_label
_atom_site_fract_x
_atom_site_fract_y
_atom_site_fract_z
_atom_site_occupancy
Zn1 0.000 0.500 0.250 1
Co1 0.000 0.000 0.000 1
Cu1 0.000 0.000 0.500 1
```

The calculation puts the formation energy at -0.05 eV per atom. Its spin magnetization is 0.000 μB per atom.

***

ZnCoCu2: optimized geometry, PBEsol.

CIF file:
```
data_ZnCoCu2
_chemical_formula_sum 'Zn1 Co1 Cu2'
_space_group_name_H-M_alt 'P m m 2'
_space_group_IT_number 25
_cell_length_a 2.522
_cell_length_b 3.549
_cell_length_c 5.109
_cell_angle_alpha 90.00
_cell_angle_beta 90.00
_cell_angle_gamma 90.00
loop_
_space_group_symop_operation_xyz
'x,y,z'
'-x,-y,z'
'-x,y,z'
'x,-y,z'
loop_
_atom_site_label
_atom_site_fract_x
_atom_site_fract_y
_atom_site_fract_z
_atom_site_occupancy
Zn1 0.000 0.000 0.000 1
Co1 0.500 0.500 0.247 1
Cu1 0.000 0.000 0.492 1
Cu2 0.500 0.500 0.740 1
```

The calculation puts the formation energy at 0.04 eV per atom. Its spin magnetization is 0.260 μB per atom.

***

ZnCoCu2: optimized geometry, PBEsol.

CIF file:
```
data_ZnCoCu2
_chemical_formula_sum 'Zn2 Co2 Cu4'
_space_group_name_H-M_alt 'C 1 m 1'
_space_group_IT_number 8
_cell_length_a 8.363
_cell_length_b 2.504
_cell_length_c 4.436
_cell_angle_alpha 90.00
_cell_angle_beta 99.64
_cell_angle_gamma 90.00
loop_
_space_group_symop_operation_xyz
'x,y,z'
'x,-y,z'
'x+1/2,y+1/2,z'
'x+1/2,-y+1/2,z'
loop_
_atom_site_label
_atom_site_fract_x
_atom_site_fract_y
_atom_site_fract_z
_atom_site_occupancy
Zn1 0.000 0.000 0.000 1
Co1 0.250 0.000 0.757 1
Cu1 0.002 0.500 0.506 1
Cu2 0.252 0.500 0.262 1
```

The calculation puts the formation energy at 0.05 eV per atom. Its spin magnetization is 0.300 μB per atom.

***

ZnCo2Cu: optimized geometry, PBEsol.

CIF file:
```
data_ZnCo2Cu
_chemical_formula_sum 'Zn1 Co2 Cu1'
_space_group_name_H-M_alt 'P 4 m m'
_space_group_IT_number 99
_cell_length_a 2.562
_cell_length_b 2.562
_cell_length_c 6.834
_cell_angle_alpha 90.00
_cell_angle_beta 90.00
_cell_angle_gamma 90.00
loop_
_space_group_symop_operation_xyz
'x,y,z'
'-y,x,z'
'-x,-y,z'
'y,-x,z'
'-x,y,z'
'y,x,z'
'x,-y,z'
'-y,-x,z'
loop_
_atom_site_label
_atom_site_fract_x
_atom_site_fract_y
_atom_site_fract_z
_atom_site_occupancy
Zn1 0.000 0.000 0.000 1
Co1 0.000 0.000 0.478 1
Co2 0.500 0.500 0.259 1
Cu1 0.500 0.500 0.732 1
```

The calculation puts the formation energy at 0.01 eV per atom. Its spin magnetization is 0.655 μB per atom.

***

Zn2CoCu: optimized geometry, PBEsol.

CIF file:
```
data_Zn2CoCu
_chemical_formula_sum 'Zn6 Co3 Cu3'
_space_group_name_H-M_alt 'R -3 m'
_space_group_IT_number 166
_space_group_name_Hall '-R 3 2"'
_cell_length_a 2.5932
_cell_length_b 2.5932
_cell_length_c 24.7123
_cell_angle_alpha 90.00
_cell_angle_beta 90.00
_cell_angle_gamma 120.00
loop_
_atom_site_label
_atom_site_fract_x
_atom_site_fract_y
_atom_site_fract_z
_atom_site_occupancy
Zn1 0.0000 0.0000 0.2485 1
Co1 0.0000 0.0000 0.5000 1
Cu1 0.0000 0.0000 0.0000 1
```

The calculation puts the formation energy at -0.02 eV per atom. Its spin magnetization is 0.310 μB per atom.

***

Number 1: N(E_F) 3.2 states/eV/f.u., mass density 8.875 g cm⁻³. Number 2: N(E_F) 1.7 states/eV/f.u., mass density 8.952 g cm⁻³. Number 3: N(E_F) 3.2 states/eV/f.u., mass density 9.129 g cm⁻³. Number 4: N(E_F) 2.1 states/eV/f.u., mass density 9.118 g cm⁻³. Number 5: N(E_F) 3.1 states/eV/f.u., mass density 9.137 g cm⁻³. Number 6: N(E_F) 2.6 states/eV/f.u., mass density 8.768 g cm⁻³.